VASP calculation (PBE) on a relaxed structure of KHAuF6.

```
KHAuF6
1.0
5.6765 0.3466 0.2878
3.0868 4.9011 0.0081
0.3520 -0.2270 5.4751
K F Au H
1 6 1 1
Cartesian
3.9019 4.5478 5.2992
3.3214 3.7019 2.3102
3.8454 1.2421 1.1432
5.8784 4.8743 3.4376
2.2437 2.4142 4.5395
6.6949 2.1017 2.1859
5.0698 1.9735 3.8167
3.0526 1.8258 2.8444
5.8909 2.0753 2.9896
```

Uncorrected energy: -3.655 eV per atom

---

VASP calculation (PBE) on a relaxed structure of In2AsBr.

```
In2AsBr
1.0
-4.9803 1.5790 -0.5956
-3.6405 -1.3958 3.5283
-2.0238 3.6004 3.2546
In Br As
2 1 1
Cartesian
0.0000 0.0000 0.0000
-2.6611 0.9459 1.5468
-7.9834 2.8377 4.6405
-5.3223 1.8918 3.0936
```

E_form (uncorrected): 2.91 kcal/mol of atoms

---

VASP calculation (PBE) on a relaxed structure of Sc2Co2Si.

```
Sc2Co2Si
1.0
-0.6116 4.4013 1.9879
-4.7615 -0.9734 0.2789
3.1541 -3.0880 2.0526
Si Co Sc
1 2 2
Cartesian
0.0000 0.0000 0.0000
-1.7518 1.1176 0.7391
-3.6213 2.3102 1.5278
-2.1470 -1.1738 1.7325
-0.0720 1.5136 2.5870
```

E_form (uncorrected): -4.96 kcal/mol of atoms

---

VASP calculation (PBE) on a relaxed structure of KNaFeI5.

```
KNaFeI5
1.0
8.7204 0.2925 0.0339
-2.2658 8.4259 0.0339
-2.6569 -3.5888 9.8714
Fe I K Na
2 10 2 2
Cartesian
4.3865 2.1121 2.5018
-0.5888 3.0175 7.4375
6.6269 2.6956 1.3937
4.4824 -0.2011 3.6099
2.5801 2.1792 0.6662
-2.8293 2.4340 8.5456
1.2175 2.9504 9.2731
-0.6848 5.3308 6.3294
0.0027 1.3095 5.6019
3.7950 3.8202 4.3374
5.7289 -1.6597 7.4375
-1.9313 6.7893 2.5018
3.0163 0.3485 7.4375
0.7813 4.7811 2.5018
-1.3285 -1.7944 4.9357
0.0000 0.0000 0.0000
```

E_form (uncorrected): -17.17 kcal/mol of atoms

---

VASP calculation (PBE) on a relaxed structure of SiIrRh2.

```
SiIrRh2
1.0
-0.3467 0.0694 -3.8412
0.2557 -3.7751 -0.0913
-3.7609 -0.2628 0.3347
Ir Rh Si
1 2 1
Cartesian
-2.0538 -0.0967 -1.7533
0.0000 0.0000 0.0000
-1.7526 -2.0190 0.1217
-0.0455 -1.8528 -1.9663
```

E_form (uncorrected): -6.16 kcal/mol of atoms

---

VASP calculation (PBE) on a relaxed structure of TmLu2Ru.

```
TmLu2Ru
1.0
-3.2607 -0.8298 0.2476
-0.0457 -0.7984 -3.2776
2.2070 -8.0929 1.9407
Lu Ru Tm
2 1 1
Cartesian
1.7962 -6.5866 1.5795
0.4108 -1.5063 0.3612
-1.6532 -0.8141 -1.5150
-0.5497 -4.8606 -0.5446
```

Calculated formation energy: -285 meV/atom

---

VASP calculation (PBE) on a relaxed structure of SrAgNF2.

```
SrAgNF2
1.0
-2.7621 3.2859 -1.7548
-2.7550 -0.3315 3.7156
2.8069 3.6445 2.4063
Sr Ag F N
1 1 2 1
Cartesian
0.0000 0.0000 0.0000
-1.3551 3.2995 2.1836
-1.3775 -0.1657 1.8578
-1.3810 1.6430 -0.8774
1.4035 1.8223 1.2032
```

E_form (uncorrected): -20.23 kcal/mol of atoms

---

VASP calculation (PBE) on a relaxed structure of AlTc2Se.

```
AlTc2Se
1.0
-2.4740 1.8014 -0.5284
-1.8557 -1.3159 4.2027
1.9191 3.1758 1.8417
Al Se Tc
1 1 2
Cartesian
-0.2774 2.4886 0.6567
0.0317 0.9300 3.0222
-2.1648 0.2427 1.8372
0.0000 0.0000 0.0000
```

E_form (uncorrected): 5.61 kcal/mol of atoms